(1)
First-principles (PBE) data for crystalline SrTc3 at its relaxed geometry, as listed in Alexandria.

Cell lengths 2.981, 4.032, 6.793 Å; angles 90.00, 90.00, 90.00 degrees
Atoms (fractional coordinates):
Tc (0.000, 0.500, 0.392)
Tc (0.500, 0.000, 0.522)
Tc (0.500, 0.500, 0.726)
Sr (0.000, 0.000, 0.027)

Summary:
The calculation puts the formation energy at 286 kJ/mol of formula units. Its energy relative to the lowest polymorph listed for this composition is 155 meV per atom.

(2)
First-principles (PBE) data for crystalline SrTc3 at its relaxed geometry, as listed in Alexandria.

Cell lengths 5.570, 5.570, 2.630 Å; angles 90.00, 90.00, 119.39 degrees
Each line ends with the local moment (μB).
Atoms (fractional coordinates):
Tc (0.500, 0.000, 0.500)  0.03
Tc (0.500, 0.500, 0.000)  0.11
Tc (0.000, 0.500, 0.500)  0.03
Sr (0.000, 0.000, 0.000)  0.00

Summary:
The calculation puts the formation energy at 415 kJ/mol of formula units. Its energy relative to the lowest polymorph listed for this composition is 489 meV per atom.

(3)
First-principles (PBE) data for crystalline SrTc3 at its relaxed geometry, as listed in Alexandria.

Cell lengths 3.216, 3.216, 7.614 Å; angles 90.00, 90.00, 90.00 degrees
Atoms (fractional coordinates):
Tc (0.500, 0.500, 0.328)
Sr (0.000, 0.000, 0.000)
Tc (0.500, 0.500, 0.672)
Tc (0.000, 0.000, 0.500)

Summary:
The calculation puts the formation energy at 226 kJ/mol of formula units. Its energy relative to the lowest polymorph listed for this composition is 0 meV per atom.

(4)
First-principles (PBE) data for crystalline Sr4Tc at its relaxed geometry, as listed in Alexandria.

Cell lengths 6.561, 6.561, 6.561 Å; angles 109.47, 109.47, 109.47 degrees
Each line ends with the local moment (μB).
Atoms (fractional coordinates):
Sr (0.000, 0.000, 0.500)  -0.01
Sr (0.500, 0.500, 0.500)  -0.01
Tc (0.000, 0.000, 0.000)  1.49
Sr (0.500, 0.000, 0.000)  -0.01
Sr (0.000, 0.500, 0.000)  -0.01

Summary:
The calculation puts the formation energy at 307 kJ/mol of formula units. Its energy relative to the lowest polymorph listed for this composition is 168 meV per atom.

What is the energy relative to the lowest polymorph listed for this composition in the third record?
0 meV per atom